(1)
Density functional theory data (PBE) for a geometry-optimized LiAcSn6 structure.

a b c (Å): 4.8192 4.8192 9.4448
angles (deg): 90.00 90.00 90.00
Closest atoms and distances in Å follow each position.
Fractional coordinates of all 8 atoms:
Li1 0.0000 0.0000 0.0000  12 Sn 3.24-3.41
Ac1 0.0000 0.0000 0.5000  12 Sn 3.41-3.51
Sn1 0.0000 0.5000 0.2292  8 Sn 3.24-3.51, 2 Li 3.24, 2 Ac 3.51
Sn2 0.0000 0.5000 0.7708  8 Sn 3.24-3.51, 2 Li 3.24, 2 Ac 3.51
Sn3 0.5000 0.0000 0.2292  8 Sn 3.24-3.51, 2 Li 3.24, 2 Ac 3.51
Sn4 0.5000 0.0000 0.7708  8 Sn 3.24-3.51, 2 Li 3.24, 2 Ac 3.51
Sn5 0.5000 0.5000 0.0000  8 Sn 3.24, 4 Li 3.41
Sn6 0.5000 0.5000 0.5000  4 Ac 3.41, 8 Sn 3.51

Results
Size of the total moment (μB per atom): 0.000
E_tot (eV per cell): -32.455

=====

(2)
Density functional theory data (PBE) for a geometry-optimized LiAc4Sn2 structure.

a b c (Å): 10.0041 10.0041 10.0041
angles (deg): 33.16 33.16 33.16
Closest atoms and distances in Å follow each position.
Fractional coordinates of all 7 atoms:
Li1 0.0000 0.0000 0.0000  2 Sn 2.64
Ac1 0.2140 0.2140 0.2140  4 Sn 3.38-3.43
Ac2 0.3740 0.3740 0.3740  3 Li 3.49, 3 Sn 3.61
Ac3 0.6260 0.6260 0.6260  3 Li 3.49, 3 Sn 3.61
Ac4 0.7860 0.7860 0.7860  4 Sn 3.38-3.43
Sn1 0.0931 0.0931 0.0931  1 Li 2.64
Sn2 0.9069 0.9069 0.9069  1 Li 2.64

Results
Size of the total moment (μB per atom): 0.000
E_tot (eV per cell): -28.540